(1)
The following is a DFT calculation (PBE) of an optimized crystal structure of Ho6Te3AsSe2.

The structure belongs to space group C2/m (No. 12); the cell edges are 7.228, 12.510 and 7.405 Å and the angles 90.00°, 108.99° and 90.00°. The distinct sites, in fractional coordinates, are Ho at (0.235, 0.164, 0.214), Ho at (0.245, 0.500, 0.216), Te at (0.000, 0.168, 0.500), Te at (0.000, 0.500, 0.500), As at (0.000, 0.000, 0.000) and Se at (0.000, 0.334, 0.000).

Its uncorrected formation energy is -1.5023 eV per atom. The density of states at the Fermi level is 9.0 states/eV per cell. The magnetization is 0.00 μB per cell.

---

(2)
The following is a DFT calculation (PBE) of an optimized crystal structure of Sc2FeCoC.

The structure belongs to space group P4/mmm (No. 123); the cell edges are 4.518, 4.518 and 3.557 Å and the angles 90.00°, 90.00° and 90.00°. The distinct sites, in fractional coordinates, are Sc at (0.000, 0.500, 0.000), Fe at (0.000, 0.000, 0.500), Co at (0.500, 0.500, 0.500) and C at (0.000, 0.000, 0.000).

The value obtained for the energy above the most stable polymorph in this dataset is 0.000 eV per atom. For the formation energy, the calculation gives -5.36 kcal/mol of atoms. The density of states at the Fermi level is 3.6 states/eV per cell. The magnetization is 0.89 μB per cell.